The following is a DFT calculation (PBE) of a relaxed structure of Rb2PaTeI5.

Cell: 8.5090 8.5090 8.5090 Å, 88.31 120.98 120.98°
Positions (direct):
Pa1 0.0000 0.9896 0.9896
I1 0.4947 0.7491 0.7491
I2 0.0000 0.2402 0.2402
I3 0.5053 0.2544 0.2544
I4 0.0000 0.2544 0.7491
I5 0.0000 0.7491 0.2544
Rb1 0.5000 0.2525 0.7525
Rb2 0.5000 0.7525 0.2525
Te1 0.0000 0.7582 0.7582

Summary:
Symmetry: No. 107
Electronic total energy (eV/atom): -3.62